No. 1
# TlCo2Au PBE optimized geometry
data_TlCo2Au
_chemical_formula_sum 'Tl1 Co2 Au1'
_space_group_name_H-M_alt 'P 1'
_space_group_IT_number 1
_space_group_name_Hall 'P 1'
_cell_length_a 4.918
_cell_length_b 4.918
_cell_length_c 4.918
_cell_angle_alpha 132.82
_cell_angle_beta 132.82
_cell_angle_gamma 68.93
loop_
_atom_site_label
_atom_site_fract_x
_atom_site_fract_y
_atom_site_fract_z
Au1 0.750 0.250 0.500
Co1 0.000 0.000 0.000
Co2 0.250 0.750 0.500
Tl1 0.500 0.500 0.000
# **Formation energy**: 462 meV/atom
# **Space group**: I-4m2 (119)

***

No. 2
# ScCd2Br PBE optimized geometry
data_ScCd2Br
_chemical_formula_sum 'Sc1 Cd2 Br1'
_space_group_name_H-M_alt 'P 1'
_space_group_IT_number 1
_space_group_name_Hall 'P 1'
_cell_length_a 3.318
_cell_length_b 4.822
_cell_length_c 5.935
_cell_angle_alpha 90.00
_cell_angle_beta 90.00
_cell_angle_gamma 90.00
loop_
_atom_site_label
_atom_site_fract_x
_atom_site_fract_y
_atom_site_fract_z
Br1 0.000 0.500 0.500
Cd1 0.000 0.000 0.000
Cd2 0.500 0.500 0.000
Sc1 0.500 0.000 0.500
# **Excess energy over the best structure of this formula in the dataset**: 158.2 meV per atom
# **Formation energy from raw total energies**: -111 kJ/mol of formula units
# **Space group**: Pmmm (47)

***

No. 3
# Pr4PtRhI2 PBE optimized geometry
data_Pr4PtRhI2
_chemical_formula_sum 'Pr4 Pt1 Rh1 I2'
_space_group_name_H-M_alt 'P 1'
_space_group_IT_number 1
_space_group_name_Hall 'P 1'
_cell_length_a 4.261
_cell_length_b 7.391
_cell_length_c 8.540
_cell_angle_alpha 106.81
_cell_angle_beta 90.00
_cell_angle_gamma 90.00
loop_
_atom_site_label
_atom_site_fract_x
_atom_site_fract_y
_atom_site_fract_z
Pr1 0.500 0.234 0.186
Pr2 0.500 0.766 0.814
Pr3 0.000 0.275 0.814
Pr4 0.000 0.725 0.186
Pt1 0.000 0.000 0.000
Rh1 0.500 0.500 0.000
I1 0.500 0.000 0.500
I2 0.000 0.500 0.500
# **Formation energy from raw total energies**: -793 kJ/mol of formula units
# **Space group**: P2/m (10)

***

No. 4
# Ca2AlAu PBE optimized geometry
data_Ca2AlAu
_chemical_formula_sum 'Ca4 Al2 Au2'
_space_group_name_H-M_alt 'P 1'
_space_group_IT_number 1
_space_group_name_Hall 'P 1'
_cell_length_a 8.222
_cell_length_b 8.222
_cell_length_c 6.712
_cell_angle_alpha 52.23
_cell_angle_beta 52.23
_cell_angle_gamma 90.00
loop_
_atom_site_label
_atom_site_fract_x
_atom_site_fract_y
_atom_site_fract_z
Ca1 0.650 0.125 0.250
Ca2 0.100 0.625 0.250
Ca3 0.375 0.350 0.750
Ca4 0.875 0.900 0.750
Au1 0.000 0.000 0.000
Au2 0.750 0.250 0.500
Al1 0.500 0.500 0.000
Al2 0.250 0.750 0.500
# **Formation energy**: -146 meV/atom
# **Space group**: I-42d (122)

***

No. 5
# Rb4HAuI PBE optimized geometry
data_Rb4HAuI
_chemical_formula_sum 'Rb4 H1 Au1 I1'
_space_group_name_H-M_alt 'P 1'
_space_group_IT_number 1
_space_group_name_Hall 'P 1'
_cell_length_a 5.522
_cell_length_b 5.522
_cell_length_c 10.414
_cell_angle_alpha 105.37
_cell_angle_beta 105.37
_cell_angle_gamma 90.00
loop_
_atom_site_label
_atom_site_fract_x
_atom_site_fract_y
_atom_site_fract_z
Rb1 0.010 0.510 0.019
Rb2 0.510 0.010 0.019
Rb3 0.823 0.823 0.645
Rb4 0.179 0.179 0.358
H1 0.976 0.976 0.952
Au1 0.632 0.632 0.264
I1 0.371 0.371 0.742
# **Electronic total energy**: -15.63 eV per cell
# **Space group**: I4mm (107)

***

No. 6
# BaCuC2 PBE optimized geometry
data_BaCuC2
_chemical_formula_sum 'Ba1 Cu1 C2'
_space_group_name_H-M_alt 'P 1'
_space_group_IT_number 1
_space_group_name_Hall 'P 1'
_cell_length_a 4.498
_cell_length_b 4.498
_cell_length_c 4.498
_cell_angle_alpha 60.00
_cell_angle_beta 60.00
_cell_angle_gamma 60.00
loop_
_atom_site_label
_atom_site_fract_x
_atom_site_fract_y
_atom_site_fract_z
C1 0.250 0.250 0.250
C2 0.750 0.750 0.750
Ba1 0.500 0.500 0.500
Cu1 0.000 0.000 0.000
# **Excess energy over the best structure of this formula in the dataset**: 908.5 meV per atom
# **Formation energy**: 2080 meV/atom
# **Space group**: Fm-3m (225)

***

No. 7
# Ca2MgAu PBE optimized geometry
data_Ca2MgAu
_chemical_formula_sum 'Ca2 Mg1 Au1'
_space_group_name_H-M_alt 'P 1'
_space_group_IT_number 1
_space_group_name_Hall 'P 1'
_cell_length_a 8.971
_cell_length_b 8.971
_cell_length_c 8.971
_cell_angle_alpha 26.48
_cell_angle_beta 26.48
_cell_angle_gamma 26.48
loop_
_atom_site_label
_atom_site_fract_x
_atom_site_fract_y
_atom_site_fract_z
Au1 0.750 0.750 0.750
Ca1 0.014 0.014 0.014
Ca2 0.486 0.486 0.486
Mg1 0.250 0.250 0.250
# **Formation energy**: -310 meV/atom
# **Space group**: R-3m (166)

***

No. 8
# Dy2TmPd3 PBE optimized geometry
data_Dy2TmPd3
_chemical_formula_sum 'Dy4 Tm2 Pd6'
_space_group_name_H-M_alt 'P 1'
_space_group_IT_number 1
_space_group_name_Hall 'P 1'
_cell_length_a 5.877
_cell_length_b 8.488
_cell_length_c 6.558
_cell_angle_alpha 108.70
_cell_angle_beta 116.62
_cell_angle_gamma 90.00
loop_
_atom_site_label
_atom_site_fract_x
_atom_site_fract_y
_atom_site_fract_z
Dy1 0.700 0.584 0.355
Dy2 0.655 0.084 0.355
Dy3 0.345 0.916 0.645
Dy4 0.300 0.416 0.645
Tm1 0.851 0.750 0.000
Tm2 0.149 0.250 0.000
Pd1 0.644 0.250 0.000
Pd2 0.356 0.750 0.000
Pd3 0.114 0.077 0.282
Pd4 0.832 0.423 0.718
Pd5 0.168 0.577 0.282
Pd6 0.886 0.923 0.718
# **Excess energy over the best structure of this formula in the dataset**: 149.4 meV per atom
# **Formation energy**: -758 meV/atom
# **Space group**: C2/c (15)